1.
Compound: NaTl2Pd4
Source: the Alexandria database
Functional: PBE
Structure: relaxed

* DFT total energy: -3.97 eV per atom
* density of states at the Fermi level: 5.10 states/eV/cell
* energy of formation: -13.0 kJ per mole of atoms
* SG: I4/mmm, No. 139
* energy relative to the lowest polymorph listed for this composition: 60 meV/atom
* crystal system: tetragonal

```
NaTl2Pd4
1.0
-3.330 1.427 -1.582
-1.486 -3.659 -0.171
-1.337 2.221 9.755
Pd Tl Na
4 2 1
direct
0.250 0.750 0.500
0.145 0.145 0.289
0.750 0.250 0.500
0.855 0.855 0.711
0.366 0.366 0.732
0.634 0.634 0.268
0.000 0.000 0.000
```

2.
Compound: RbNaNb3
Source: the Alexandria database
Functional: PBE
Structure: relaxed

* DFT total energy: -3.99 eV per atom
* density of states at the Fermi level: 9.80 states/eV/cell
* energy of formation: 241.7 kJ per mole of atoms
* SG: Pm-3m, No. 221
* energy relative to the lowest polymorph listed for this composition: 0 meV/atom
* crystal system: cubic

```
RbNaNb3
1.0
5.055 0.000 0.000
0.000 5.055 0.000
0.000 0.000 5.055
Nb Na Rb
3 1 1
direct
0.000 0.500 0.000
0.000 0.000 0.500
0.500 0.000 0.000
0.000 0.000 0.000
0.500 0.500 0.500
```

3.
Compound: Ba2ScTc
Source: the Alexandria database
Functional: PBE
Structure: relaxed

* DFT total energy: -4.21 eV per atom
* density of states at the Fermi level: 5.85 states/eV/cell
* energy of formation: 89.3 kJ per mole of atoms
* SG: P2/m, No. 10
* energy relative to the lowest polymorph listed for this composition: 580 meV/atom
* crystal system: monoclinic

```
Ba2ScTc
1.0
-2.944 -3.821 1.814
3.034 -1.715 1.311
1.332 2.014 6.406
Ba Tc Sc
2 1 1
direct
0.000 0.588 0.518
0.000 0.912 0.982
0.500 0.750 0.750
0.500 0.250 0.250
```

4.
Compound: NaMn2CrCl8
Source: the Alexandria database
Functional: PBE
Structure: relaxed

* DFT total energy: -4.83 eV per atom
* SG: P2/m, No. 10
* formation energy (no corrections): -1.16 eV/atom
* crystal system: monoclinic

```
NaMn2CrCl8
1.0
-3.324 3.603 3.562
-4.903 -1.467 -2.854
-1.091 -5.816 4.865
Cl Mn Cr Na
8 2 1 1
direct
0.312 0.265 0.000
0.339 0.291 0.500
0.823 0.223 0.220
0.177 0.777 0.780
0.823 0.223 0.780
0.177 0.777 0.220
0.688 0.735 0.000
0.661 0.709 0.500
0.500 0.500 0.251
0.500 0.500 0.749
0.000 0.000 0.000
0.000 0.000 0.500
```